Computed, not measured: a relaxed TeRuN2O crystal at the PBE level of DFT.

The value obtained for the raw formation energy is 1.448 eV per atom. For the total energy, the calculation gives -5.357 eV per atom.

The space group is P4/mmm (No. 123) and the conventional cell measures 4.023, 4.023 and 3.976 Å, with angles of 90.00, 90.00 and 90.00 degrees. The asymmetric unit holds Te at (0.000, 0.000, 0.000), Ru at (0.500, 0.500, 0.500), N at (0.000, 0.500, 0.000) and O at (0.000, 0.000, 0.500).

=====

Computed, not measured: a relaxed Ba2Pd7 crystal at the PBE level of DFT.

The calculation puts the formation energy at -0.41 eV per atom. For the total energy, the calculation gives -4.881 eV per atom.

The space group is R-3m (No. 166, hexagonal axes) and the conventional cell measures 5.6477, 5.6477 and 40.5907 Å, with angles of 90.00, 90.00 and 120.00 degrees. The asymmetric unit holds Ba at (0.0000, 0.0000, 0.0511), Ba at (0.0000, 0.0000, 0.1475), Pd at (0.0000, 0.0000, 0.2788), Pd at (0.0000, 0.0000, 0.3873), Pd at (0.0000, 0.0000, 0.5000), Pd at (0.0000, 0.5000, 0.0000) and Pd at (0.0007, 0.5004, 0.8909).

=====

Computed, not measured: a relaxed KTcIr crystal at the PBE level of DFT.

The energy above the most stable polymorph in this dataset comes out at 234 meV per atom. The calculation puts the formation energy at 0.79 eV per atom. For the total energy, the calculation gives -5.988 eV per atom.

The space group is P3m1 (No. 156) and the conventional cell measures 2.8194, 2.8194 and 8.0845 Å, with angles of 90.00, 90.00 and 120.00 degrees. The asymmetric unit holds K at (0.0000, 0.0000, 0.0000), Tc at (0.6667, 0.3333, 0.3823) and Ir at (0.3333, 0.6667, 0.6390).

=====

One value per record, in order, for D(E_F): 0.880 0.855 1.633 states/eV per atom.